First-principles (PBE-GGA) data for a relaxed structure of Y2OsO4, as listed in OQMD via LeMat-Bulk.

## Properties
Crystal system: cubic
Symmetry: Fd-3m, No. 227
Volume, Å³ per atom: 15.13
Total moment, μB per cell: 8.050

Cell and atoms, written as POSCAR:
```
Y2OsO4
1.0
-3.116 5.674 1.693
6.004 0.233 -2.945
-5.371 -1.909 -3.504
Y Os O
4 2 8
Direct
0.875 0.250 0.625 Y
0.375 0.750 0.625 Y
0.375 0.750 0.125 Y
0.375 0.250 0.625 Y
0.750 0.500 0.250 Os
0.000 0.000 0.000 Os
0.135 0.270 0.865 O
0.155 0.770 0.385 O
0.135 0.270 0.405 O
0.135 0.730 0.865 O
0.595 0.730 0.865 O
0.615 0.230 0.385 O
0.615 0.770 0.385 O
0.615 0.230 0.845 O
```

---

First-principles (PBE-GGA) data for a relaxed structure of Zn6OsO8, as listed in OQMD via LeMat-Bulk.

## Properties
Crystal system: cubic
Symmetry: Fm-3m, No. 225
Volume, Å³ per atom: 10.64
Total moment, μB per cell: 2.036

Cell and atoms, written as POSCAR:
```
Zn6OsO8
1.0
0.000 4.306 4.306
4.306 0.000 4.306
4.306 4.306 0.000
O Zn Os
8 6 1
Direct
0.765 0.235 0.765 O
0.765 0.235 0.235 O
0.250 0.250 0.250 O
0.765 0.765 0.235 O
0.235 0.765 0.235 O
0.750 0.750 0.750 O
0.235 0.765 0.765 O
0.235 0.235 0.765 O
0.000 0.500 0.500 Zn
0.500 0.000 0.500 Zn
0.500 0.000 0.000 Zn
0.000 0.000 0.500 Zn
0.000 0.500 0.000 Zn
0.500 0.500 0.000 Zn
0.000 0.000 0.000 Os
```

---

First-principles (PBE-GGA) data for a relaxed structure of Zn2OsO4, as listed in OQMD via LeMat-Bulk.

## Properties
Crystal system: cubic
Symmetry: Fd-3m, No. 227
Volume, Å³ per atom: 11.39
Total moment, μB per cell: 0.019

Cell and atoms, written as POSCAR:
```
Zn2OsO4
1.0
-1.727 0.056 -5.836
4.918 -3.164 1.687
-5.548 -1.904 1.625
Zn O Os
4 8 2
Direct
0.375 0.750 0.625 Zn
0.375 0.750 0.125 Zn
0.375 0.250 0.625 Zn
0.875 0.250 0.625 Zn
0.620 0.240 0.861 O
0.130 0.260 0.870 O
0.611 0.740 0.870 O
0.620 0.240 0.380 O
0.139 0.760 0.380 O
0.620 0.760 0.380 O
0.130 0.260 0.389 O
0.130 0.740 0.870 O
0.750 0.500 0.250 Os
0.000 0.000 0.000 Os
```

---

First-principles (PBE-GGA) data for a relaxed structure of Zn2Os2O7, as listed in OQMD via LeMat-Bulk.

## Properties
Crystal system: cubic
Symmetry: Fd-3m, No. 227
Volume, Å³ per atom: 11.29
Total moment, μB per cell: 0.253

Cell and atoms, written as POSCAR:
```
Zn2Os2O7
1.0
0.000 4.989 4.989
4.989 0.000 4.989
4.989 4.989 0.000
O Os Zn
14 4 4
Direct
0.299 0.701 0.701 O
0.549 0.951 0.951 O
0.299 0.299 0.701 O
0.951 0.549 0.951 O
0.701 0.299 0.701 O
0.701 0.299 0.299 O
0.701 0.701 0.299 O
0.000 0.000 0.000 O
0.250 0.250 0.250 O
0.549 0.951 0.549 O
0.951 0.951 0.549 O
0.299 0.701 0.299 O
0.951 0.549 0.549 O
0.549 0.549 0.951 O
0.625 0.125 0.625 Os
0.625 0.625 0.125 Os
0.125 0.625 0.625 Os
0.625 0.625 0.625 Os
0.625 0.125 0.125 Zn
0.125 0.625 0.125 Zn
0.125 0.125 0.625 Zn
0.125 0.125 0.125 Zn
```

---

The calculated total energy results, record by record, are as follows: -115.0, -75.3, -78.0, -141.0 eV/cell.